# TaBPO

A geometry-optimized TaBPO structure (PBE-GGA, OQMD).

abc: 3.2674 3.2674 8.2878
angles: 90.00 90.00 90.00
Space group P4/nmm (No. 129, origin choice 2)
Symmetry-distinct sites (fractional):
Ta (0.2500, 0.2500, 0.1645) x2
B (0.2500, 0.7500, 0.5000) x2
P (0.2500, 0.2500, 0.6809) x2
O (0.2500, 0.7500, 0.0000) x2

## Properties
**E**: -7.537 eV/atom
**Excess energy over the best structure of this formula in the dataset**: 1.919 eV/f.u.
**Calculated volume**: 11.06 Å³ per atom

***

# TbPr2Ni2B2N3

A geometry-optimized TbPr2Ni2B2N3 structure (PBE-GGA, OQMD).

abc: 3.6107 3.6107 20.1703
angles: 90.00 90.00 90.00
Space group I4/mmm (No. 139)
Symmetry-distinct sites (fractional):
Tb (0.0000, 0.0000, 0.0000) x2
Pr (0.0000, 0.0000, 0.3750) x4
Ni (0.0000, 0.5000, 0.2500) x4
B (0.0000, 0.0000, 0.1913) x4
N (0.0000, 0.0000, 0.1191) x4
N (0.0000, 0.0000, 0.5000) x2

## Properties
**E**: -7.432 eV/atom
**Calculated volume**: 13.15 Å³ per atom

***

# Ta4GeSbC2

A geometry-optimized Ta4GeSbC2 structure (PBE-GGA, OQMD).

abc: 3.3128 3.3128 12.7590
angles: 90.00 90.00 120.00
Space group P-6m2 (No. 187)
Symmetry-distinct sites (fractional):
Ta (0.0000, 0.0000, 0.1520) x2
Ta (0.6667, 0.3333, 0.3285) x2
Ge (0.6667, 0.3333, 0.0000) x1
Sb (0.0000, 0.0000, 0.5000) x1
C (0.3333, 0.6667, 0.2418) x2

## Properties
**E**: -9.708 eV/atom
**Calculated volume**: 15.16 Å³ per atom

***

# CsNpAuSe3

A geometry-optimized CsNpAuSe3 structure (PBE-GGA, OQMD).

abc: 4.2443 16.1441 10.7327
angles: 90.00 90.00 90.00
Space group Cmcm (No. 63)
Symmetry-distinct sites (fractional):
Cs (0.0000, 0.2490, 0.2500) x4
Np (0.0000, 0.5000, 0.0000) x4
Au (0.0000, 0.0416, 0.7500) x4
Se (0.0000, 0.1172, 0.5385) x8
Se (0.0000, 0.4390, 0.7500) x4

## Properties
**E**: -5.570 eV/atom
**Calculated volume**: 30.64 Å³ per atom

***

# LuSbAsO

A geometry-optimized LuSbAsO structure (PBE-GGA, OQMD).

abc: 3.9831 3.9831 10.4749
angles: 90.00 90.00 90.00
Space group P4/nmm (No. 129, origin choice 2)
Symmetry-distinct sites (fractional):
Lu (0.2500, 0.2500, 0.0929) x2
Sb (0.2500, 0.7500, 0.5000) x2
As (0.2500, 0.2500, 0.7347) x2
O (0.2500, 0.7500, 0.0000) x2

## Properties
**E**: -5.945 eV/atom
**Excess energy over the best structure of this formula in the dataset**: 0.000 eV/f.u.
**Calculated volume**: 20.77 Å³ per atom

***

# LaPrNi4

A geometry-optimized LaPrNi4 structure (PBE-GGA, OQMD).

abc: 5.5246 5.5246 8.2999
angles: 90.00 90.00 120.00
Space group P6/mmm (No. 191)
Symmetry-distinct sites (fractional):
La (0.0000, 0.0000, 0.0000) x1
La (0.0000, 0.0000, 0.5000) x1
Pr (0.3333, 0.6667, 0.0000) x2
Ni (0.0000, 0.5000, 0.2847) x6
Ni (0.3333, 0.6667, 0.5000) x2

## Properties
**E**: -5.272 eV/atom
**Excess energy over the best structure of this formula in the dataset**: 2.159 eV/f.u.
**Formation energy**: 0.06 eV per atom
**Calculated volume**: 18.28 Å³ per atom

***

# HoMgCuS3

A geometry-optimized HoMgCuS3 structure (PBE-GGA, OQMD).

abc: 3.6878 12.0942 10.2530
angles: 90.00 90.00 90.00
Space group Cmcm (No. 63)
Symmetry-distinct sites (fractional):
Ho (0.0000, 0.0000, 0.0000) x4
Mg (0.0000, 0.2358, 0.2500) x4
Cu (0.0000, 0.4800, 0.7500) x4
S (0.0000, 0.1013, 0.7500) x4
S (0.0000, 0.3534, 0.5825) x8

## Properties
**E**: -4.995 eV/atom
**Calculated volume**: 19.05 Å³ per atom

***

# KLuNiTe3

A geometry-optimized KLuNiTe3 structure (PBE-GGA, OQMD).

abc: 9.6630 4.2177 10.1277
angles: 90.00 111.18 90.00
Space group P2_1/m (No. 11)
Symmetry-distinct sites (fractional):
K (0.2103, 0.2500, 0.2468) x2
Lu (0.3235, 0.7500, 0.8579) x2
Ni (0.0971, 0.2500, 0.6123) x2
Te (0.1045, 0.2500, 0.8657) x2
Te (0.1802, 0.7500, 0.5281) x2
Te (0.4660, 0.7500, 0.1749) x2

## Properties
**E**: -4.320 eV/atom
**Excess energy over the best structure of this formula in the dataset**: 0.000 eV/f.u.
**Calculated volume**: 32.07 Å³ per atom